! Er5BiP4 | Alexandria | GGA-PBE | optimized geometry; values from VASP
&SYSTEM
  ibrav = 0, nat = 10, ntyp = 3
/
ATOMIC_SPECIES
Er 167.26 Er.upf
Bi 208.98 Bi.upf
P 30.97 P.upf
ATOMIC_POSITIONS crystal
Er 0.0000 0.0000 0.0000
Er 0.2076 0.2076 0.8186
Er 0.3883 0.3883 0.6160
Er 0.6117 0.6117 0.3840
Er 0.7924 0.7924 0.1814
Bi 0.0000 0.0000 0.5000
P 0.2035 0.2035 0.2937
P 0.4030 0.4030 0.1008
P 0.5970 0.5970 0.8992
P 0.7965 0.7965 0.7063
CELL_PARAMETERS angstrom
6.7737 -2.0008 0.0000
6.7737 2.0008 0.0000
-5.0213 0.0000 8.7329
! energy of formation = -1.41 eV/atom
! space-group type = No. 12
! uncorrected energy = -62.44 eV/f.u.
! mass density = 8.20 g cm⁻³
! crystal system = monoclinic
! DOS at the Fermi energy = 1.57 states/eV/cell
! volume = 23.7 Å³/atom

! ErBiP | Alexandria | GGA-PBE | optimized geometry; values from VASP
&SYSTEM
  ibrav = 0, nat = 6, ntyp = 3
/
ATOMIC_SPECIES
Er 167.26 Er.upf
Bi 208.98 Bi.upf
P 30.97 P.upf
ATOMIC_POSITIONS crystal
Er 0.2418 0.2500 0.4896
Er 0.7582 0.7500 0.5104
Bi 0.3283 0.7500 0.9599
Bi 0.6717 0.2500 0.0401
P 0.2254 0.7500 0.4084
P 0.7746 0.2500 0.5916
CELL_PARAMETERS angstrom
5.3529 0.0000 0.0000
0.0000 5.4710 0.0000
-2.0022 0.0000 5.6521
! energy of formation = -0.71 eV/atom
! space-group type = No. 11
! uncorrected energy = -15.99 eV/f.u.
! mass density = 8.17 g cm⁻³
! crystal system = monoclinic
! DOS at the Fermi energy = 1.93 states/eV/cell
! volume = 27.6 Å³/atom

! Er4Bi3P | Alexandria | GGA-PBE | optimized geometry; values from VASP
&SYSTEM
  ibrav = 0, nat = 8, ntyp = 3
/
ATOMIC_SPECIES
Er 167.26 Er.upf
Bi 208.98 Bi.upf
P 30.97 P.upf
ATOMIC_POSITIONS crystal
Er 0.2278 0.2278 0.5000
Er 0.2372 0.7628 0.0000
Er 0.7628 0.2372 0.0000
Er 0.7722 0.7722 0.5000
Bi 0.0000 0.5000 0.5000
Bi 0.5000 0.0000 0.5000
Bi 0.5000 0.5000 0.0000
P 0.0000 0.0000 0.0000
CELL_PARAMETERS angstrom
4.3650 -6.1236 0.0000
4.3650 6.1236 0.0000
0.0000 0.0000 4.2892
! energy of formation = -0.95 eV/atom
! space-group type = No. 65
! uncorrected energy = -42.90 eV/f.u.
! mass density = 9.61 g cm⁻³
! crystal system = orthorhombic
! DOS at the Fermi energy = 1.38 states/eV/cell
! volume = 28.7 Å³/atom

! Er3BiP2Rh9 | Alexandria | GGA-PBE | optimized geometry; values from VASP
&SYSTEM
  ibrav = 0, nat = 15, ntyp = 4
/
ATOMIC_SPECIES
Er 167.26 Er.upf
Bi 208.98 Bi.upf
P 30.97 P.upf
Rh 102.91 Rh.upf
ATOMIC_POSITIONS crystal
Er 0.0000 0.0000 0.0000
Er 0.3333 0.6667 0.7427
Er 0.6667 0.3333 0.2573
Bi 0.0000 0.0000 0.5000
P 0.3333 0.6667 0.1570
P 0.6667 0.3333 0.8430
Rh 0.0000 0.5000 0.0000
Rh 0.1508 0.3016 0.2652
Rh 0.1508 0.8492 0.2652
Rh 0.3016 0.1508 0.7348
Rh 0.5000 0.0000 0.0000
Rh 0.5000 0.5000 0.0000
Rh 0.6984 0.8492 0.2652
Rh 0.8492 0.1508 0.7348
Rh 0.8492 0.6984 0.7348
CELL_PARAMETERS angstrom
6.0310 0.0000 0.0000
-3.0155 5.2230 0.0000
0.0000 0.0000 9.4881
! energy of formation = -0.62 eV/atom
! space-group type = No. 164
! uncorrected energy = -103.91 eV/f.u.
! mass density = 9.44 g cm⁻³
! crystal system = trigonal
! DOS at the Fermi energy = 8.99 states/eV/cell
! volume = 19.9 Å³/atom